The following is a DFT calculation (PBE+U) of an optimized crystal structure of LiFePO4.

CIF file:
```
data_LiFePO4
_symmetry_space_group_name_H-M 'P 1 21/c 1'
_symmetry_Int_Tables_number 14
_cell_length_a 5.194
_cell_length_b 6.157
_cell_length_c 10.442
_cell_angle_alpha 90.00
_cell_angle_beta 114.56
_cell_angle_gamma 90.00
loop_
_symmetry_equiv_pos_as_xyz
'x,y,z'
'-x,-y,-z'
'-x,y+1/2,-z+1/2'
'x,-y+1/2,z+1/2'
loop_
_atom_site_label
_atom_site_type_symbol
_atom_site_fract_x
_atom_site_fract_y
_atom_site_fract_z
Li1 Li 0.087 0.141 0.426
Fe1 Fe 0.461 0.610 0.665
P1 P 0.106 0.651 0.366
O1 O 0.188 0.663 0.976
O2 O 0.220 0.143 0.225
O3 O 0.222 0.062 0.950
O4 O 0.255 0.668 0.262
```

Calculated values
E above lowest polymorph in meV/atom: 57.4